Pr3CdIn3, optimized geometry, DFT PBE-GGA; crystal system = monoclinic; energy relative to the elements = -0.44 eV per atom; electronic total energy = -3.79 eV per atom; symmetry = C2/m
1.0
4.820 0.000 0.726
2.366 5.852 0.656
0.224 0.264 14.875
In Cd Pr
6 2 6
Direct
0.129 0.292 0.451
0.117 0.836 0.929
0.883 0.164 0.071
0.871 0.708 0.549
0.972 0.822 0.234
0.028 0.178 0.766
0.245 0.900 0.610
0.755 0.100 0.390
0.458 0.701 0.384
0.737 0.743 0.783
0.596 0.725 0.082
0.263 0.257 0.217
0.404 0.275 0.918
0.542 0.299 0.616

Sm4MnGa12, optimized geometry, DFT PBE-GGA; crystal system = cubic; energy relative to the elements = -0.55 eV per atom; electronic total energy = -4.33 eV per atom; symmetry = Im-3m
1.0
7.118 0.000 -2.516
-3.559 6.164 -2.516
0.000 0.000 7.549
Sm Ga Mn
4 12 1
Direct
0.500 0.000 0.000
0.500 0.500 0.500
0.000 0.500 0.000
0.000 0.000 0.500
0.000 0.288 0.288
0.288 0.288 0.000
0.288 0.000 0.288
0.250 0.750 0.500
0.712 0.000 0.712
0.712 0.712 0.000
0.500 0.250 0.750
0.500 0.750 0.250
0.750 0.250 0.500
0.750 0.500 0.250
0.250 0.500 0.750
0.000 0.712 0.712
0.000 0.000 0.000

Tl3Ni2AgCl8, optimized geometry, DFT PBE-GGA; crystal system = trigonal; electronic total energy = -3.27 eV per atom; symmetry = P-3m1; raw formation energy = -678 meV/atom
1.0
-2.031 -0.159 6.826
6.928 -0.034 -1.656
0.103 9.101 0.243
Cl Ni Ag Tl
8 2 1 3
Direct
0.333 0.667 0.960
0.337 0.169 0.691
0.831 0.169 0.691
0.663 0.831 0.309
0.169 0.831 0.309
0.831 0.663 0.691
0.169 0.337 0.309
0.667 0.333 0.040
0.667 0.333 0.799
0.333 0.667 0.201
0.000 0.000 0.500
0.333 0.667 0.627
0.667 0.333 0.373
0.000 0.000 0.000

Y3TmPd6, optimized geometry, DFT PBE-GGA; crystal system = monoclinic; energy relative to the elements = -0.84 eV per atom; electronic total energy = -6.34 eV per atom; symmetry = P2_1/m
1.0
4.917 0.000 0.000
0.000 7.870 -2.562
0.000 0.124 10.393
Pd Tm Y
12 2 6
Direct
0.250 0.650 0.697
0.250 0.442 0.092
0.750 0.854 0.802
0.250 0.238 0.510
0.750 0.147 0.693
0.250 0.146 0.198
0.750 0.350 0.303
0.250 0.853 0.307
0.750 0.558 0.908
0.250 0.068 0.885
0.750 0.932 0.115
0.750 0.762 0.490
0.250 0.936 0.606
0.750 0.064 0.394
0.250 0.359 0.804
0.250 0.793 0.992
0.250 0.519 0.386
0.750 0.641 0.196
0.750 0.207 0.008
0.750 0.481 0.614

YMgTlCl6, optimized geometry, DFT PBE-GGA; crystal system = trigonal; electronic total energy = -4.27 eV per atom; symmetry = P-31c; raw formation energy = -1881 meV/atom
1.0
-6.561 1.716 -0.472
2.574 -4.756 -4.119
-3.292 -9.978 9.465
Cl Tl Y Mg
12 2 2 2
Direct
0.367 0.986 0.146
0.367 0.381 0.354
0.619 0.633 0.146
0.619 0.986 0.354
0.381 0.367 0.854
0.381 0.014 0.646
0.633 0.619 0.646
0.986 0.619 0.854
0.014 0.633 0.354
0.986 0.367 0.646
0.633 0.014 0.854
0.014 0.381 0.146
0.000 0.000 0.000
0.000 0.000 0.500
0.333 0.667 0.750
0.667 0.333 0.250
0.667 0.333 0.750
0.333 0.667 0.250

Li2PmCd, optimized geometry, DFT PBE-GGA; crystal system = tetragonal; energy relative to the elements = -0.06 eV per atom; electronic total energy = -2.43 eV per atom; symmetry = P4/mmm
1.0
-1.656 2.078 2.320
-2.009 -2.721 1.003
4.900 -1.750 5.066
Li Cd Pm
2 1 1
Direct
0.000 0.000 0.804
0.000 0.000 0.196
0.500 0.500 0.000
0.500 0.500 0.500

Dy4BiTe2Se, optimized geometry, DFT PBE-GGA; crystal system = monoclinic; electronic total energy = -5.30 eV per atom; symmetry = P2/m; raw formation energy = -1291 meV/atom
1.0
4.300 0.000 0.000
0.000 7.513 -0.172
0.000 2.624 7.023
Dy Bi Se Te
4 1 1 2
Direct
0.500 0.263 0.765
0.000 0.725 0.776
0.000 0.275 0.224
0.500 0.737 0.235
0.000 0.500 0.500
0.500 0.500 0.000
0.500 0.000 0.500
0.000 0.000 0.000

NaMg14Cd, optimized geometry, DFT PBE-GGA; crystal system = orthorhombic; energy relative to the elements = 0.00 eV per atom; electronic total energy = -1.54 eV per atom; symmetry = Amm2
1.0
3.187 -5.516 0.000
3.187 5.516 0.000
0.000 0.000 10.527
Cd Mg Na
1 14 1
Direct
0.335 0.665 0.500
0.834 0.166 0.000
0.665 0.335 0.755
0.665 0.831 0.751
0.169 0.335 0.751
0.836 0.669 0.000
0.169 0.335 0.249
0.331 0.164 0.000
0.167 0.833 0.743
0.333 0.667 0.000
0.337 0.171 0.500
0.829 0.663 0.500
0.167 0.833 0.257
0.665 0.335 0.245
0.665 0.831 0.249
0.833 0.167 0.500

Pa2MnTl2Se6, optimized geometry, DFT PBE-GGA; crystal system = monoclinic; electronic total energy = -5.70 eV per atom; symmetry = C2/m; raw formation energy = -813 meV/atom
1.0
6.602 0.016 0.013
-3.249 5.747 0.013
-1.247 -2.143 8.190
Se Mn Pa Tl
6 1 2 2
Direct
0.376 0.073 0.695
0.222 0.222 0.299
0.073 0.376 0.695
0.778 0.778 0.701
0.624 0.927 0.305
0.927 0.624 0.305
0.000 0.000 0.500
0.336 0.664 0.500
0.664 0.336 0.500
0.180 0.820 0.000
0.820 0.180 0.000

Li2HfCuH, optimized geometry, DFT PBE-GGA; crystal system = tetragonal; electronic total energy = -4.27 eV per atom; symmetry = P4/mmm
1.0
3.774 0.000 0.000
0.000 3.774 0.000
0.000 0.000 4.609
H Li Hf Cu
1 2 1 1
Direct
0.000 0.000 0.000
0.500 0.000 0.000
0.000 0.500 0.000
0.000 0.000 0.500
0.500 0.500 0.500

CePm4P4, optimized geometry, DFT PBE-GGA; crystal system = monoclinic; energy relative to the elements = -1.34 eV per atom; electronic total energy = -6.52 eV per atom; symmetry = C2/m
1.0
5.384 0.000 2.158
2.644 6.489 1.199
0.279 -0.123 7.098
P Ce Pm
4 1 4
Direct
0.296 0.802 0.605
0.099 0.605 0.198
0.901 0.395 0.802
0.704 0.198 0.395
0.000 0.000 0.000
0.193 0.204 0.411
0.807 0.796 0.589
0.396 0.411 0.797
0.604 0.589 0.203

MnGa3Hg, optimized geometry, DFT PBE-GGA; crystal system = cubic; energy relative to the elements = 0.17 eV per atom; electronic total energy = -3.54 eV per atom; symmetry = Pm-3m
1.0
4.793 0.000 0.000
0.000 4.793 0.000
0.000 0.000 4.793
Ga Hg Mn
3 1 1
Direct
0.000 0.500 0.000
0.500 0.000 0.000
0.000 0.000 0.500
0.500 0.500 0.500
0.000 0.000 0.000